Record 1
An optimized crystal structure of BiB2O4, computed with PBE.

crystal system	tetragonal
final energy	-49.0	eV/f.u.
energy relative to the lowest polymorph listed for this composition	0.0	meV/atom

```
BiB2O4
1.0
3.5570 0.0000 0.0000
0.0000 3.5570 0.0000
0.0000 0.0000 5.7832
Bi B O
1 2 4
Direct
0.0000 0.0000 0.0000 Bi
0.0000 0.5000 0.5000 B
0.5000 0.0000 0.5000 B
0.2526 0.2526 0.6432 O
0.2526 0.7474 0.3568 O
0.7474 0.2526 0.3568 O
0.7474 0.7474 0.6432 O
```

***

Record 2
An optimized crystal structure of Sr2AlGe, computed with PBE.

crystal system	tetragonal
final energy	-11.3	eV/f.u.
formation enthalpy at 0 K	103	meV per atom

```
Sr2AlGe
1.0
-4.3309 4.3309 3.5588
4.3309 -4.3309 3.5588
4.3309 4.3309 -3.5588
Sr Al Ge
4 2 2
Direct
0.1062 0.6250 0.9812 Sr
0.3750 0.3562 0.4812 Sr
0.6438 0.1250 0.0188 Sr
0.8750 0.8938 0.5188 Sr
0.2500 0.7500 0.5000 Al
0.5000 0.5000 0.0000 Al
0.0000 0.0000 0.0000 Ge
0.7500 0.2500 0.5000 Ge
```

***

Record 3
An optimized crystal structure of CeNdH2, computed with PBE.

crystal system	trigonal
final energy	-18.4	eV/f.u.
energy relative to the lowest polymorph listed for this composition	105.7	meV/atom

```
CeNdH2
1.0
1.7714 1.0227 6.1759
-1.7714 1.0227 6.1759
0.0000 -2.0454 6.1759
Ce Nd H
1 1 2
Direct
0.0000 0.0000 0.0000 Ce
0.8251 0.8251 0.8251 Nd
0.4115 0.4115 0.4115 H
0.5893 0.5893 0.5893 H
```

***

Record 4
An optimized crystal structure of Li2TeMo, computed with PBE.

crystal system	orthorhombic
final energy	-17.7	eV/f.u.

```
Li2TeMo
1.0
3.4568 0.0000 0.0000
0.0000 3.4671 0.0000
0.0000 0.0000 5.8682
Li Te Mo
2 1 1
Direct
0.0000 0.0000 0.0000 Li
0.5000 0.5000 0.2318 Li
0.0000 0.0000 0.5240 Te
0.5000 0.5000 0.7373 Mo
```

***

The lowest final energy belongs to which entry? BiB2O4